La2TbCd5 PBE optimized geometry; formation enthalpy at 0 K = -0.31 eV/atom
1.0
5.200 0.000 0.000
0.000 5.200 0.000
-2.600 -2.600 7.928
La Tb Cd
2 1 5
direct
0.737 0.737 0.474
0.263 0.263 0.526
0.000 0.000 0.000
0.500 0.500 0.000
0.888 0.388 0.777
0.388 0.888 0.777
0.112 0.612 0.223
0.612 0.112 0.223



LaTb2Cd8 PBE optimized geometry; formation enthalpy at 0 K = -0.29 eV/atom
1.0
5.166 0.034 -1.416
-0.767 5.772 -2.692
-0.311 0.602 9.030
Cd Tb La
8 2 1
direct
0.132 0.364 0.262
0.869 0.102 0.738
0.749 0.499 0.000
0.703 0.203 0.407
0.297 0.797 0.593
0.251 0.501 0.000
0.131 0.898 0.262
0.868 0.636 0.738
0.691 0.691 0.381
0.309 0.309 0.619
0.500 0.000 0.000



LaTbCd PBE optimized geometry; formation enthalpy at 0 K = 0.08 eV/atom
1.0
5.291 0.000 0.000
2.646 4.564 0.277
2.646 1.238 4.402
La Tb Cd
1 1 1
direct
0.750 0.750 0.750
0.250 0.250 0.250
0.000 0.000 0.000



La5TbCd6 PBE optimized geometry; formation enthalpy at 0 K = -0.32 eV/atom
1.0
5.224 -0.031 1.741
0.042 7.837 0.014
-0.009 -0.016 8.736
Cd Tb La
6 1 5
direct
0.839 0.757 0.323
0.839 0.243 0.323
0.500 0.241 0.000
0.500 0.759 0.000
0.161 0.757 0.677
0.161 0.243 0.677
0.000 0.000 0.000
0.670 0.500 0.659
0.333 0.000 0.333
0.000 0.500 0.000
0.667 0.000 0.667
0.330 0.500 0.341



LaTb4Cd PBE optimized geometry; formation enthalpy at 0 K = -0.09 eV/atom
1.0
3.635 0.000 0.000
0.000 3.635 0.000
0.000 0.000 14.117
La Tb Cd
1 4 1
direct
0.000 0.000 0.000
0.500 0.500 0.183
0.000 0.000 0.643
0.000 0.000 0.357
0.500 0.500 0.817
0.500 0.500 0.500



LaTbCd6 PBE optimized geometry; formation enthalpy at 0 K = -0.29 eV/atom
1.0
-3.807 0.423 3.136
-3.768 -3.735 -4.070
3.400 -3.470 4.594
La Tb Cd
1 1 6
direct
0.500 0.390 0.610
0.000 0.108 0.892
0.000 0.052 0.372
0.000 0.628 0.948
0.000 0.583 0.417
0.500 0.439 0.126
0.500 0.874 0.561
0.500 0.925 0.075



La14TbCd PBE optimized geometry; formation enthalpy at 0 K = -0.03 eV/atom
1.0
7.264 0.970 0.000
-0.979 7.263 0.000
0.000 0.000 10.474
La Tb Cd
14 1 1
direct
0.375 0.625 0.500
0.875 0.125 0.500
0.874 0.625 0.000
0.875 0.625 0.500
0.375 0.126 0.000
0.375 0.125 0.500
0.621 0.871 0.755
0.621 0.871 0.245
0.129 0.379 0.755
0.129 0.379 0.245
0.129 0.871 0.756
0.129 0.871 0.244
0.621 0.379 0.755
0.621 0.379 0.245
0.875 0.125 0.000
0.375 0.625 0.000



La2TbCd2 PBE optimized geometry; formation enthalpy at 0 K = -0.06 eV/atom
1.0
-1.667 -0.548 -5.883
5.340 -6.270 -0.929
-6.317 -0.651 5.054
La Tb Cd
4 2 4
direct
0.793 0.637 0.586
0.207 0.363 0.414
0.707 0.052 0.414
0.293 0.948 0.586
0.750 0.500 0.000
0.250 0.500 0.000
0.443 0.776 0.887
0.557 0.224 0.113
0.057 0.889 0.113
0.943 0.111 0.887



La4Tb2Cd PBE optimized geometry; formation enthalpy at 0 K = 0.02 eV/atom
1.0
3.602 0.000 0.000
0.000 8.786 0.161
-1.801 -4.033 7.481
La Tb Cd
4 2 1
direct
0.917 0.297 0.834
0.083 0.703 0.166
0.631 0.387 0.262
0.369 0.613 0.738
0.783 0.862 0.566
0.217 0.138 0.434
0.000 0.000 0.000



La15Tb4Cd PBE optimized geometry; formation enthalpy at 0 K = -0.02 eV/atom
1.0
5.183 0.000 0.000
0.000 5.183 0.000
0.000 0.000 26.052
La Tb Cd
15 4 1
direct
0.500 0.500 0.000
0.500 0.500 0.197
0.500 0.500 0.398
0.500 0.500 0.602
0.500 0.500 0.803
0.500 0.000 0.097
0.500 0.000 0.298
0.500 0.000 0.500
0.500 0.000 0.702
0.500 0.000 0.903
0.000 0.500 0.097
0.000 0.500 0.298
0.000 0.500 0.500
0.000 0.500 0.702
0.000 0.500 0.903
0.000 0.000 0.197
0.000 0.000 0.399
0.000 0.000 0.601
0.000 0.000 0.803
0.000 0.000 0.000



LaTb8Cd6 PBE optimized geometry; formation enthalpy at 0 K = -0.07 eV/atom
1.0
9.083 0.000 0.000
4.542 7.866 0.000
4.542 2.622 6.388
La Tb Cd
1 8 6
direct
0.000 0.000 0.000
0.558 0.213 0.350
0.787 0.120 0.650
0.120 0.442 0.650
0.668 0.668 0.995
0.332 0.332 0.005
0.880 0.558 0.350
0.213 0.880 0.350
0.442 0.787 0.650
0.395 0.053 0.843
0.947 0.291 0.157
0.291 0.605 0.157
0.709 0.395 0.843
0.053 0.709 0.843
0.605 0.947 0.157



LaTb3Cd PBE optimized geometry; formation enthalpy at 0 K = 0.19 eV/atom
1.0
-4.100 -0.744 6.740
2.936 -6.009 -4.251
7.327 2.934 0.711
La Tb Cd
2 6 2
direct
0.588 0.782 0.305
0.477 0.282 0.695
0.033 0.262 0.732
0.033 0.801 0.271
0.530 0.762 0.729
0.078 0.281 0.297
0.530 0.301 0.268
0.984 0.781 0.703
0.531 0.032 0.999
0.032 0.532 0.001



LaTb2Cd3 PBE optimized geometry; formation enthalpy at 0 K = -0.32 eV/atom
1.0
3.793 0.000 0.000
0.000 3.793 0.000
0.000 0.000 11.601
La Tb Cd
1 2 3
direct
0.500 0.500 0.500
0.500 0.500 0.840
0.500 0.500 0.160
0.000 0.000 0.000
0.000 0.000 0.684
0.000 0.000 0.316



LaTb4Cd5 PBE optimized geometry; formation enthalpy at 0 K = -0.32 eV/atom
1.0
-1.137 -3.331 -1.371
3.375 -0.484 -1.626
6.373 -8.683 15.815
La Tb Cd
1 4 5
direct
0.000 0.000 0.000
0.000 0.000 0.207
0.000 0.000 0.403
0.000 0.000 0.597
0.000 0.000 0.793
0.500 0.500 0.113
0.500 0.500 0.304
0.500 0.500 0.500
0.500 0.500 0.696
0.500 0.500 0.887



LaTbCd17 PBE optimized geometry; formation enthalpy at 0 K = -0.15 eV/atom
1.0
7.623 0.061 0.968
0.861 7.574 0.968
0.068 0.061 7.684
La Tb Cd
1 1 17
direct
0.667 0.667 0.667
0.327 0.327 0.327
0.298 0.002 0.698
0.698 0.298 0.002
0.002 0.698 0.298
0.298 0.698 0.002
0.002 0.298 0.698
0.698 0.002 0.298
0.348 0.871 0.348
0.348 0.348 0.871
0.871 0.348 0.348
0.625 0.198 0.625
0.625 0.625 0.198
0.198 0.625 0.625
0.981 0.521 0.981
0.981 0.981 0.521
0.521 0.981 0.981
0.907 0.907 0.907
0.105 0.105 0.105



La6Tb5Cd PBE optimized geometry; formation enthalpy at 0 K = -0.01 eV/atom
1.0
5.021 -0.002 -1.406
-3.582 8.371 -3.146
-0.007 0.001 9.633
Cd Tb La
1 5 6
direct
0.000 0.000 0.000
0.500 0.175 0.825
0.000 0.337 0.663
0.500 0.500 0.500
0.000 0.663 0.337
0.500 0.825 0.175
0.244 0.078 0.409
0.756 0.591 0.922
0.740 0.239 0.239
0.260 0.761 0.761
0.244 0.409 0.078
0.756 0.922 0.591



LaTb6Cd PBE optimized geometry; formation enthalpy at 0 K = 0.04 eV/atom
1.0
-3.521 4.711 -2.430
-4.086 -1.311 4.699
9.633 1.158 1.742
La Tb Cd
1 6 1
direct
0.000 0.000 0.000
0.457 0.457 0.801
0.762 0.136 0.286
0.543 0.543 0.199
0.864 0.238 0.714
0.238 0.864 0.714
0.136 0.762 0.286
0.500 0.500 0.500



La4Tb3Cd PBE optimized geometry; formation enthalpy at 0 K = 0.00 eV/atom
1.0
-2.244 -1.923 2.958
2.295 -3.458 -0.506
9.846 4.968 10.699
Cd Tb La
1 3 4
direct
0.500 0.500 0.000
0.500 0.500 0.251
0.500 0.500 0.500
0.500 0.500 0.749
0.000 0.000 0.885
0.000 0.000 0.115
0.000 0.000 0.380
0.000 0.000 0.620



La2Tb6Cd PBE optimized geometry; formation enthalpy at 0 K = 0.01 eV/atom
1.0
5.567 0.000 0.235
0.000 9.869 0.000
-0.437 0.000 10.357
La Tb Cd
4 12 2
direct
0.000 0.312 0.750
0.500 0.812 0.750
0.500 0.188 0.250
0.000 0.688 0.250
0.000 0.015 0.182
0.000 0.682 0.575
0.000 0.640 0.897
0.500 0.140 0.603
0.500 0.182 0.925
0.500 0.515 0.318
0.000 0.985 0.818
0.000 0.318 0.425
0.000 0.360 0.103
0.500 0.860 0.397
0.500 0.818 0.075
0.500 0.485 0.682
0.500 0.500 0.000
0.000 0.000 0.500



La8Tb2Cd PBE optimized geometry; formation enthalpy at 0 K = 0.05 eV/atom
1.0
-3.849 0.184 -4.851
-8.215 -6.148 1.167
-9.941 0.302 2.781
La Tb Cd
8 2 1
direct
0.326 0.110 0.579
0.326 0.579 0.110
0.674 0.890 0.421
0.212 0.534 0.534
0.674 0.421 0.890
0.324 0.100 0.100
0.676 0.900 0.900
0.788 0.466 0.466
0.902 0.280 0.280
0.098 0.720 0.720
0.000 0.000 0.000



La5TbCd3 PBE optimized geometry; formation enthalpy at 0 K = -0.18 eV/atom
1.0
7.148 0.000 0.000
0.000 9.617 0.000
0.000 -4.809 8.328
La Tb Cd
10 2 6
direct
0.000 0.667 0.333
0.500 0.333 0.667
0.000 0.333 0.667
0.500 0.667 0.333
0.750 0.663 0.663
0.750 0.000 0.337
0.750 0.337 0.000
0.250 0.337 0.337
0.250 0.000 0.663
0.250 0.663 0.000
0.000 0.000 0.000
0.500 0.000 0.000
0.750 0.324 0.324
0.750 0.000 0.676
0.750 0.676 0.000
0.250 0.676 0.676
0.250 0.000 0.324
0.250 0.324 0.000